Entry 1:
A relaxed structure of InW3S, computed with PBE.

Summary:
Energy = -8.318 eV/atom
E_form (uncorrected) = 826.8 meV/atom
Symmetry = Pm-3m (221)
Energy relative to the lowest polymorph listed for this composition = 0 kJ/mol of formula units
DOS at the Fermi energy = 3.732 states/eV per cell

Geometry as POSCAR:
```
InW3S
1.0
4.465 0.000 0.000
0.000 4.465 0.000
0.000 0.000 4.465
In W S
1 3 1
direct
0.000 0.000 0.000 In
0.000 0.500 0.500 W
0.500 0.000 0.500 W
0.500 0.500 0.000 W
0.500 0.500 0.500 S
```

***

Entry 2:
A relaxed structure of Mg2TaTe, computed with PBE.

Summary:
Energy = -4.113 eV/atom
E_form (uncorrected) = 433.0 meV/atom
Symmetry = F-43m (216)
DOS at the Fermi energy = 2.733 states/eV per cell

Geometry as POSCAR:
```
Mg2TaTe
1.0
0.000 3.484 3.484
3.484 0.000 3.484
3.484 3.484 0.000
Mg Ta Te
2 1 1
direct
0.000 0.000 0.000 Mg
0.250 0.250 0.250 Mg
0.750 0.750 0.750 Ta
0.500 0.500 0.500 Te
```